The following is a DFT calculation (PBE) of crystalline Tb13Sc2 at its relaxed geometry.

Computed properties:
The energy relative to the elements is 0.070 eV per atom. For the magnetization, the calculation gives 0.00 μB per formula unit.

a b c (Å): 6.5565 8.8634 8.8664
angles (deg): 65.74 81.73 81.71
Space group P-1 (No. 2)
Unique sites:
Tb  0.0000  0.0000  0.0000 (multiplicity 1)
Tb  0.0980  0.7599  0.4359 (multiplicity 2)
Tb  0.1976  0.2034  0.1981 (multiplicity 2)
Tb  0.2908  0.6291  0.9705 (multiplicity 2)
Tb  0.3006  0.9654  0.6342 (multiplicity 2)
Tb  0.3989  0.4030  0.3989 (multiplicity 2)
Tb  0.4940  0.1706  0.8334 (multiplicity 2)
Sc  0.1017  0.4332  0.7659 (multiplicity 2)


The following is a DFT calculation (PBE) of crystalline Li4AgRh at its relaxed geometry.

Computed properties:
The value obtained for the distance to the lowest polymorph of the same formula is 29 meV/atom. The energy relative to the elements is -0.119 eV per atom. For the magnetization, the calculation gives 0.00 μB per formula unit.

a b c (Å): 3.1817 3.1817 8.6835
angles (deg): 90.00 90.00 90.00
Space group P4/mmm (No. 123)
Unique sites:
Li  0.0000  0.0000  0.1435 (multiplicity 2)
Li  0.5000  0.5000  0.3185 (multiplicity 2)
Ag  0.0000  0.0000  0.5000 (multiplicity 1)
Rh  0.5000  0.5000  0.0000 (multiplicity 1)


The following is a DFT calculation (PBE) of crystalline YEr2Rh4 at its relaxed geometry.

Computed properties:
The energy relative to the elements is -0.554 eV per atom. For the magnetization, the calculation gives 0.00 μB per formula unit.

a b c (Å): 4.6318 4.6318 23.1166
angles (deg): 90.00 90.00 120.00
Space group R-3m (No. 166, hexagonal axes)
Unique sites:
Y  0.0000  0.0000  0.0000 (multiplicity 3)
Er  0.0000  0.0000  0.2392 (multiplicity 6)
Rh  0.0000  0.0000  0.1220 (multiplicity 6)
Rh  0.0000  0.0000  0.3767 (multiplicity 6)


The following is a DFT calculation (PBE) of crystalline Tl2WBr at its relaxed geometry.

Computed properties:
The value obtained for the distance to the lowest polymorph of the same formula is 518 meV/atom. The calculation puts the formation energy (no corrections) at 1.00 eV/atom. For the magnetization, the calculation gives 1.90 μB per formula unit.

a b c (Å): 3.1548 5.3995 5.7296
angles (deg): 90.00 90.00 90.00
Space group Pmmm (No. 47)
Unique sites:
Tl  0.0000  0.0000  0.0000 (multiplicity 1)
Tl  0.5000  0.0000  0.5000 (multiplicity 1)
W  0.0000  0.5000  0.5000 (multiplicity 1)
Br  0.5000  0.5000  0.0000 (multiplicity 1)


The following is a DFT calculation (PBE) of crystalline DyYHo2Se6 at its relaxed geometry.

Computed properties:
The calculation puts the formation energy (no corrections) at -1.85 eV/atom. For the magnetization, the calculation gives 0.00 μB per formula unit.

a b c (Å): 7.1880 7.1880 19.4250
angles (deg): 90.00 90.00 120.00
Space group R3 (No. 146, hexagonal axes)
Unique sites:
Dy  0.0000  0.0000  0.0000 (multiplicity 3)
Y  0.0000  0.0000  0.4999 (multiplicity 3)
Ho  0.0000  0.0000  0.3043 (multiplicity 3)
Ho  0.0000  0.0000  0.8044 (multiplicity 3)
Se  0.0029  0.3065  0.9016 (multiplicity 9)
Se  0.0029  0.6960  0.4014 (multiplicity 9)


The following is a DFT calculation (PBE) of crystalline TlAgAsPb at its relaxed geometry.

Computed properties:
The energy relative to the elements is 0.083 eV per atom. For the magnetization, the calculation gives 0.00 μB per formula unit.

a b c (Å): 7.7078 4.5264 6.8449
angles (deg): 90.00 111.58 90.00
Space group Cm (No. 8)
Unique sites:
Tl  0.0000  0.0000  0.0000 (multiplicity 2)
Ag  0.4204  0.0000  0.2544 (multiplicity 2)
As  0.2999  0.5000  0.3854 (multiplicity 2)
Pb  0.2142  0.0000  0.6284 (multiplicity 2)


The following is a DFT calculation (PBE) of crystalline Tb3YTl3Te8 at its relaxed geometry.

Computed properties:
The calculation puts the formation energy (no corrections) at -1.06 eV/atom. For the magnetization, the calculation gives 0.00 μB per formula unit.

a b c (Å): 15.2882 8.8121 9.6348
angles (deg): 90.00 121.98 90.00
Space group C2/m (No. 12)
Unique sites:
Tb  0.0000  0.0000  0.0000 (multiplicity 2)
Tb  0.2500  0.2500  0.0000 (multiplicity 4)
Y  0.0000  0.5000  0.0000 (multiplicity 2)
Tl  0.0000  0.5000  0.5000 (multiplicity 2)
Tl  0.2500  0.2500  0.5000 (multiplicity 4)
Te  0.0116  0.2492  0.7840 (multiplicity 8)
Te  0.2390  0.0000  0.2170 (multiplicity 4)
Te  0.2392  0.5000  0.2160 (multiplicity 4)


The following is a DFT calculation (PBE) of crystalline Tc2SbTe at its relaxed geometry.

Computed properties:
The value obtained for the distance to the lowest polymorph of the same formula is 771 meV/atom. The calculation puts the formation energy (no corrections) at 0.88 eV/atom. For the magnetization, the calculation gives 2.19 μB per formula unit.

a b c (Å): 6.7513 6.7513 6.7513
angles (deg): 90.00 90.00 90.00
Space group F-43m (No. 216)
Unique sites:
Tc  0.0000  0.0000  0.0000 (multiplicity 4)
Tc  0.2500  0.2500  0.2500 (multiplicity 4)
Sb  0.0000  0.0000  0.5000 (multiplicity 4)
Te  0.2500  0.2500  0.7500 (multiplicity 4)


The following is a DFT calculation (PBE) of crystalline AcEr6Tm5 at its relaxed geometry.

Computed properties:
The energy relative to the elements is 0.042 eV per atom. For the magnetization, the calculation gives 0.00 μB per formula unit.

a b c (Å): 6.1215 10.6191 11.7259
angles (deg): 90.00 100.11 90.00
Space group C2/m (No. 12)
Unique sites:
Ac  0.0000  0.0000  0.0000 (multiplicity 2)
Er  0.2470  0.3315  0.7447 (multiplicity 8)
Er  0.2481  0.5000  0.2553 (multiplicity 4)
Tm  0.0000  0.1671  0.5000 (multiplicity 4)
Tm  0.0000  0.3332  0.0000 (multiplicity 4)
Tm  0.0000  0.5000  0.5000 (multiplicity 2)


The following is a DFT calculation (PBE) of crystalline HgSb2TeO at its relaxed geometry.

Computed properties:
The value obtained for the distance to the lowest polymorph of the same formula is 0 meV/atom. The calculation puts the formation energy (no corrections) at 0.13 eV/atom. For the magnetization, the calculation gives 0.00 μB per formula unit.

a b c (Å): 4.7736 4.7736 5.1989
angles (deg): 90.00 90.00 90.00
Space group P4/mmm (No. 123)
Unique sites:
Hg  0.0000  0.0000  0.0000 (multiplicity 1)
Sb  0.0000  0.5000  0.5000 (multiplicity 2)
Te  0.5000  0.5000  0.0000 (multiplicity 1)
O  0.5000  0.5000  0.5000 (multiplicity 1)


The following is a DFT calculation (PBE) of crystalline EuGdAlCu at its relaxed geometry.

Computed properties:
The energy relative to the elements is -0.168 eV per atom. For the magnetization, the calculation gives 14.04 μB per formula unit.

a b c (Å): 7.3116 7.3116 7.3116
angles (deg): 90.00 90.00 90.00
Space group F-43m (No. 216)
Unique sites:
Eu  0.0000  0.0000  0.0000 (multiplicity 4)
Gd  0.0000  0.0000  0.5000 (multiplicity 4)
Al  0.2500  0.2500  0.2500 (multiplicity 4)
Cu  0.2500  0.2500  0.7500 (multiplicity 4)


The following is a DFT calculation (PBE) of crystalline Cs2AgO2 at its relaxed geometry.

Computed properties:
The value obtained for the distance to the lowest polymorph of the same formula is 100 meV/atom. The calculation puts the formation energy (no corrections) at -0.69 eV/atom. For the magnetization, the calculation gives 0.79 μB per formula unit.

a b c (Å): 7.2754 6.0211 12.9232
angles (deg): 90.00 90.00 90.00
Space group Pnma (No. 62)
Unique sites:
Cs  0.0668  0.2500  0.1727 (multiplicity 4)
Cs  0.1638  0.2500  0.5536 (multiplicity 4)
Ag  0.2102  0.2500  0.8387 (multiplicity 4)
O  0.0516  0.7500  0.2374 (multiplicity 4)
O  0.2334  0.7500  0.4943 (multiplicity 4)


The following is a DFT calculation (PBE) of crystalline CaP2I at its relaxed geometry.

Computed properties:
The value obtained for the distance to the lowest polymorph of the same formula is 66 meV/atom. The calculation puts the formation energy (no corrections) at 0.39 eV/atom. For the magnetization, the calculation gives 0.00 μB per formula unit.

a b c (Å): 7.2235 7.2235 7.2235
angles (deg): 90.00 90.00 90.00
Space group Fm-3m (No. 225)
Unique sites:
Ca  0.0000  0.0000  0.0000 (multiplicity 4)
P  0.2500  0.2500  0.2500 (multiplicity 8)
I  0.0000  0.0000  0.5000 (multiplicity 4)


The following is a DFT calculation (PBE) of crystalline VSiMo at its relaxed geometry.

Computed properties:
The calculation puts the formation energy (no corrections) at -0.42 eV/atom. For the magnetization, the calculation gives 0.00 μB per formula unit.

a b c (Å): 6.6938 6.6938 3.2255
angles (deg): 90.00 90.00 120.00
Space group P-62m (No. 189)
Unique sites:
V  0.0000  0.7413  0.0000 (multiplicity 3)
Si  0.0000  0.0000  0.5000 (multiplicity 1)
Si  0.3333  0.6667  0.0000 (multiplicity 2)
Mo  0.0000  0.3970  0.5000 (multiplicity 3)


The following is a DFT calculation (PBE) of crystalline Rb3Tl2InCl6 at its relaxed geometry.

Computed properties:
The calculation puts the formation energy (no corrections) at -1.44 eV/atom. For the magnetization, the calculation gives 0.00 μB per formula unit.

a b c (Å): 20.3050 4.6751 9.3030
angles (deg): 90.00 103.01 90.00
Space group C2/m (No. 12)
Unique sites:
Rb  0.0000  0.0000  0.0000 (multiplicity 2)
Rb  0.1666  0.5000  0.3329 (multiplicity 4)
Tl  0.1666  0.5000  0.8324 (multiplicity 4)
In  0.0000  0.0000  0.5000 (multiplicity 2)
Cl  0.0011  0.5000  0.7457 (multiplicity 4)
Cl  0.1652  0.0000  0.5846 (multiplicity 4)
Cl  0.1673  0.0000  0.0804 (multiplicity 4)


The following is a DFT calculation (PBE) of crystalline FeRuBr2 at its relaxed geometry.

Computed properties:
The value obtained for the distance to the lowest polymorph of the same formula is 144 meV/atom. The calculation puts the formation energy (no corrections) at 0.29 eV/atom. For the magnetization, the calculation gives 5.43 μB per formula unit.

a b c (Å): 14.9534 3.3474 4.0438
angles (deg): 90.00 96.40 90.00
Space group C2/m (No. 12)
Unique sites:
Fe  0.0000  0.0000  0.0000 (multiplicity 2)
Ru  0.0000  0.5000  0.5000 (multiplicity 2)
Br  0.1352  0.5000  0.1897 (multiplicity 4)


The following is a DFT calculation (PBE) of crystalline RuC at its relaxed geometry.

Computed properties:
The value obtained for the distance to the lowest polymorph of the same formula is 805 meV/atom. The energy relative to the elements is 1.171 eV per atom. For the magnetization, the calculation gives 0.00 μB per formula unit.

a b c (Å): 3.4774 2.6901 4.1817
angles (deg): 90.00 90.00 90.00
Space group Pmma (No. 51)
Unique sites:
Ru  0.2500  0.0000  0.2421 (multiplicity 2)
C  0.2500  0.5000  0.7936 (multiplicity 2)


The following is a DFT calculation (PBE) of crystalline HfTlSb3 at its relaxed geometry.

Computed properties:
The calculation puts the formation energy (no corrections) at 1.24 eV/atom. For the magnetization, the calculation gives 0.00 μB per formula unit.

a b c (Å): 5.5163 5.5163 5.5163
angles (deg): 90.00 90.00 90.00
Space group Pm-3m (No. 221)
Unique sites:
Hf  0.0000  0.0000  0.0000 (multiplicity 1)
Tl  0.5000  0.5000  0.5000 (multiplicity 1)
Sb  0.0000  0.5000  0.5000 (multiplicity 3)


The following is a DFT calculation (PBE) of crystalline Tl2Sn2Cl7 at its relaxed geometry.

Computed properties:
The value obtained for the distance to the lowest polymorph of the same formula is 12 meV/atom. The calculation puts the formation energy (no corrections) at -0.94 eV/atom. For the magnetization, the calculation gives 0.00 μB per formula unit.

a b c (Å): 11.7787 9.0709 6.7422
angles (deg): 90.00 95.19 90.00
Space group C2/m (No. 12)
Unique sites:
Tl  0.0000  0.2382  0.0000 (multiplicity 4)
Sn  0.2378  0.0000  0.5243 (multiplicity 4)
Cl  0.0000  0.0000  0.5000 (multiplicity 2)
Cl  0.0650  0.5000  0.2684 (multiplicity 4)
Cl  0.2254  0.3039  0.7430 (multiplicity 8)


The following is a DFT calculation (PBE) of crystalline Tb4AlCd3 at its relaxed geometry.

Computed properties:
The value obtained for the distance to the lowest polymorph of the same formula is 0 meV/atom. The energy relative to the elements is -0.340 eV per atom. For the magnetization, the calculation gives 0.20 μB per formula unit.

a b c (Å): 3.7002 3.7002 15.1011
angles (deg): 90.00 90.00 90.00
Space group P4/mmm (No. 123)
Unique sites:
Tb  0.0000  0.0000  0.1171 (multiplicity 2)
Tb  0.0000  0.0000  0.3723 (multiplicity 2)
Al  0.5000  0.5000  0.0000 (multiplicity 1)
Cd  0.5000  0.5000  0.2451 (multiplicity 2)
Cd  0.5000  0.5000  0.5000 (multiplicity 1)


The following is a DFT calculation (PBE) of crystalline MgTlFe2Br8 at its relaxed geometry.

Computed properties:
The calculation puts the formation energy (no corrections) at -0.75 eV/atom. For the magnetization, the calculation gives 9.00 μB per formula unit.

a b c (Å): 6.7124 6.7124 29.2986
angles (deg): 90.00 90.00 120.00
Space group R-3 (No. 148, hexagonal axes)
Unique sites:
Mg  0.0000  0.0000  0.0000 (multiplicity 3)
Tl  0.0000  0.0000  0.5000 (multiplicity 3)
Fe  0.0000  0.0000  0.2548 (multiplicity 6)
Br  0.0000  0.0000  0.1743 (multiplicity 6)
Br  0.0030  0.3452  0.7214 (multiplicity 18)


The following is a DFT calculation (PBE) of crystalline Sc2TeSe at its relaxed geometry.

Computed properties:
The value obtained for the distance to the lowest polymorph of the same formula is 369 meV/atom. The calculation puts the formation energy (no corrections) at -1.03 eV/atom. For the magnetization, the calculation gives 0.00 μB per formula unit.

a b c (Å): 6.2775 4.3656 9.0014
angles (deg): 90.00 90.06 90.00
Space group Pm (No. 6)
Unique sites:
Sc  0.0000  0.0000  0.0000 (multiplicity 1)
Sc  0.0701  0.0000  0.5160 (multiplicity 1)
Sc  0.4950  0.5000  0.2570 (multiplicity 1)
Sc  0.5738  0.5000  0.7370 (multiplicity 1)
Te  0.2860  0.5000  0.9790 (multiplicity 1)
Te  0.7821  0.0000  0.2742 (multiplicity 1)
Se  0.3006  0.5000  0.5148 (multiplicity 1)
Se  0.8038  0.0000  0.7421 (multiplicity 1)


The following is a DFT calculation (PBE) of crystalline AgTe2F at its relaxed geometry.

Computed properties:
The value obtained for the distance to the lowest polymorph of the same formula is 33 meV/atom. The calculation puts the formation energy (no corrections) at -0.32 eV/atom. For the magnetization, the calculation gives 0.00 μB per formula unit.

a b c (Å): 3.2997 3.2997 28.3614
angles (deg): 90.00 90.00 120.00
Space group R-3m (No. 166, hexagonal axes)
Unique sites:
Ag  0.0000  0.0000  0.0000 (multiplicity 3)
Te  0.0000  0.0000  0.4186 (multiplicity 6)
F  0.0000  0.0000  0.5000 (multiplicity 3)